Model w:
LaDy2Ga | PBE-GGA | optimized geometry

SG = P4/mmm, No. 123

Unit cell a=4.7471 b=4.8208 c=4.8208 alpha=90.00 beta=90.00 gamma=90.00
Last column: nearest neighbours and their distance in Å.
Fractional coordinates of all 4 atoms:
La (0.5000, 0.5000, 0.5000)  8 Dy 3.38, 4 Ga 3.41
Ga (0.5000, 0.0000, 0.0000)  8 Dy 3.38, 4 La 3.41
Dy (0.0000, 0.0000, 0.5000)  4 La 3.38, 4 Ga 3.38, 4 Dy 3.41
Dy (0.0000, 0.5000, 0.0000)  4 La 3.38, 4 Ga 3.38, 4 Dy 3.41

=====

Model x:
LaDy2Ga | PBE-GGA | optimized geometry

SG = R-3m, No. 166

Unit cell a=3.6332 b=3.6332 c=10.5492 alpha=80.08 beta=80.08 gamma=60.00
Last column: nearest neighbours and their distance in Å.
Fractional coordinates of all 4 atoms:
La (0.5000, 0.5000, 0.5000)  6 La 3.63, 6 Dy 3.66
Ga (0.0000, 0.0000, 0.0000)  6 Dy 3.02
Dy (0.7366, 0.7366, 0.7902)  3 Ga 3.02
Dy (0.2634, 0.2634, 0.2098)  3 Ga 3.02

=====

model w wins, 27 meV per atom ahead of the next structure.

=====

Model w:
LaDyGa4 | PBE-GGA | optimized geometry

SG = F-43m, No. 216

Unit cell a=5.6194 b=5.6194 c=5.6194 alpha=60.00 beta=60.00 gamma=60.00
Last column: nearest neighbours and their distance in Å.
Fractional coordinates of all 6 atoms:
La (0.0000, 0.0000, 0.0000)  12 Ga 3.29, 4 Dy 3.44
Ga (0.6250, 0.6250, 0.1250)  6 Ga 2.81
Ga (0.6250, 0.1250, 0.6250)  6 Ga 2.81
Ga (0.6250, 0.6250, 0.6250)  6 Ga 2.81
Ga (0.1250, 0.6250, 0.6250)  6 Ga 2.81
Dy (0.2500, 0.2500, 0.2500)  12 Ga 3.29, 4 La 3.44

=====

Model x:
LaDyGa4 | PBE-GGA | optimized geometry

SG = I-4m2, No. 119

Unit cell a=4.2688 b=4.2688 c=8.0280 alpha=105.42 beta=105.42 gamma=90.00
Last column: nearest neighbours and their distance in Å.
Fractional coordinates of all 6 atoms:
La (0.2500, 0.7500, 0.5000)  12 Ga 3.27-3.29
Dy (0.0000, 0.0000, 0.0000)  12 Ga 3.25
Ga (0.6651, 0.1651, 0.3301)  3 Ga 2.47-2.53
Ga (0.5816, 0.5816, 0.1631)  3 Ga 2.43-2.47
Ga (0.8349, 0.3349, 0.6699)  3 Ga 2.47-2.53
Ga (0.4184, 0.4184, 0.8369)  3 Ga 2.43-2.47

=====

model x wins, 109 meV per atom ahead of the next structure.

=====

Model w:
La2Dy3Ga4 | PBE-GGA | optimized geometry

SG = P2_1/c, No. 14

Unit cell a=7.6943 b=8.0738 c=8.0785 alpha=90.00 beta=90.00 gamma=106.81
Last column: nearest neighbours and their distance in Å.
Fractional coordinates of all 18 atoms:
La (0.5743, 0.1912, 0.3210)  6 Ga 3.18-3.42
La (0.9257, 0.8088, 0.8210)  6 Ga 3.18-3.42
La (0.4257, 0.8088, 0.6790)  6 Ga 3.18-3.42
La (0.0743, 0.1912, 0.1790)  6 Ga 3.18-3.42
Dy (0.0000, 0.5000, 0.5000)  6 Ga 3.06-3.26
Dy (0.5000, 0.5000, 0.0000)  6 Ga 3.06-3.26
Dy (0.7511, 0.2423, 0.8246)  6 Ga 2.97-3.10
Dy (0.7489, 0.7577, 0.3246)  6 Ga 2.97-3.10
Dy (0.2489, 0.7577, 0.1754)  6 Ga 2.97-3.10
Dy (0.2511, 0.2423, 0.6754)  6 Ga 2.97-3.10
Ga (0.8712, 0.0797, 0.5327)  1 Ga 2.71, 2 Dy 2.97-3.01
Ga (0.6288, 0.9203, 0.0327)  1 Ga 2.71, 2 Dy 2.97-3.01
Ga (0.1288, 0.9203, 0.4673)  1 Ga 2.71, 2 Dy 2.97-3.01
Ga (0.3712, 0.0797, 0.9673)  1 Ga 2.71, 2 Dy 2.97-3.01
Ga (0.8777, 0.4966, 0.1172)  1 Ga 2.66
Ga (0.6223, 0.5034, 0.6172)  1 Ga 2.66
Ga (0.1223, 0.5034, 0.8828)  1 Ga 2.66
Ga (0.3777, 0.4966, 0.3828)  1 Ga 2.66

=====

Model x:
La2Dy3Ga4 | PBE-GGA | optimized geometry

SG = Cmce, No. 64

Unit cell a=6.9635 b=8.6319 c=8.7700 alpha=90.00 beta=113.39 gamma=90.00
Last column: nearest neighbours and their distance in Å.
Fractional coordinates of all 18 atoms:
La (0.1073, 0.5769, 0.2146)  6 Ga 3.25-3.54, 2 Dy 3.64
La (0.8927, 0.4231, 0.7854)  6 Ga 3.25-3.54, 2 Dy 3.64
La (0.3927, 0.0769, 0.7854)  6 Ga 3.25-3.54, 2 Dy 3.64
La (0.6073, 0.9231, 0.2146)  6 Ga 3.25-3.54, 2 Dy 3.64
Dy (0.0000, 0.0000, 0.0000)  6 Ga 2.83-2.99
Dy (0.5000, 0.5000, 0.0000)  6 Ga 2.83-2.99
Dy (0.5330, 0.7500, 0.5660)  5 Ga 2.92-3.09
Dy (0.9670, 0.2500, 0.4340)  5 Ga 2.92-3.09
Dy (0.4670, 0.2500, 0.4340)  5 Ga 2.92-3.09
Dy (0.0330, 0.7500, 0.5660)  5 Ga 2.92-3.09
Ga (0.7141, 0.7500, 0.9283)  3 Dy 2.83-2.92
Ga (0.7859, 0.2500, 0.0717)  3 Dy 2.83-2.92
Ga (0.2859, 0.2500, 0.0717)  3 Dy 2.83-2.92
Ga (0.2141, 0.7500, 0.9283)  3 Dy 2.83-2.92
Ga (0.1846, 0.9602, 0.3692)  5 Dy 2.97-3.09
Ga (0.8154, 0.0398, 0.6308)  5 Dy 2.97-3.09
Ga (0.3154, 0.4602, 0.6308)  5 Dy 2.97-3.09
Ga (0.6846, 0.5398, 0.3692)  5 Dy 2.97-3.09

=====

model w wins, 134 meV per atom ahead of the next structure.

=====

Model w:
LaDyGaPd | PBE-GGA | optimized geometry

SG = Amm2, No. 38

Unit cell a=4.2843 b=4.4909 c=5.6507 alpha=90.00 beta=112.28 gamma=90.00
Last column: nearest neighbours and their distance in Å.
Fractional coordinates of all 4 atoms:
La (0.1461, 0.0000, 0.2922)  3 Pd 2.90-3.16, 4 Ga 3.21
Dy (0.8627, 0.5000, 0.7253)  3 Ga 3.03-3.09, 4 Pd 3.17
Ga (0.5677, 0.5000, 0.1353)  2 Pd 2.70
Pd (0.4236, 0.0000, 0.8472)  2 Ga 2.70, 1 La 2.90

=====

Model x:
LaDyGaPd | PBE-GGA | optimized geometry

SG = F-43m, No. 216

Unit cell a=5.1610 b=5.1610 c=5.1610 alpha=60.00 beta=60.00 gamma=60.00
Last column: nearest neighbours and their distance in Å.
Fractional coordinates of all 4 atoms:
La (0.0000, 0.0000, 0.0000)  4 Pd 3.16, 4 Ga 3.16
Ga (0.2500, 0.2500, 0.2500)  4 La 3.16, 4 Dy 3.16
Pd (0.7500, 0.7500, 0.7500)  4 La 3.16, 4 Dy 3.16
Dy (0.5000, 0.5000, 0.5000)  4 Ga 3.16, 4 Pd 3.16

=====

model w wins, 53 meV per atom ahead of the next structure.

=====

Model w:
LaDyGaPt | PBE-GGA | optimized geometry

SG = F-43m, No. 216

Unit cell a=5.1460 b=5.1460 c=5.1460 alpha=60.00 beta=60.00 gamma=60.00
Last column: nearest neighbours and their distance in Å.
Fractional coordinates of all 4 atoms:
La (0.5000, 0.5000, 0.5000)  4 Pt 3.15, 4 Ga 3.15
Ga (0.2500, 0.2500, 0.2500)  4 Dy 3.15, 4 La 3.15
Pt (0.7500, 0.7500, 0.7500)  4 La 3.15, 4 Dy 3.15
Dy (0.0000, 0.0000, 0.0000)  4 Pt 3.15, 4 Ga 3.15

=====

Model x:
LaDyGaPt | PBE-GGA | optimized geometry

SG = Amm2, No. 38

Unit cell a=3.9390 b=4.4265 c=6.0159 alpha=90.00 beta=109.11 gamma=90.00
Last column: nearest neighbours and their distance in Å.
Fractional coordinates of all 4 atoms:
La (0.1478, 0.0000, 0.2957)  4 Ga 3.10, 3 Pt 3.10-3.25
Dy (0.8639, 0.5000, 0.7279)  4 Pt 3.03, 3 Ga 3.04-3.37
Ga (0.5674, 0.5000, 0.1348)  2 Pt 2.77, 2 Dy 3.04, 4 La 3.10
Pt (0.4208, 0.0000, 0.8416)  2 Ga 2.77, 4 Dy 3.03

=====

model x wins, 90 meV per atom ahead of the next structure.

=====

Model w:
LaDyGaRu | PBE-GGA | optimized geometry

SG = F-43m, No. 216

Unit cell a=5.0642 b=5.0642 c=5.0642 alpha=60.00 beta=60.00 gamma=60.00
Last column: nearest neighbours and their distance in Å.
Fractional coordinates of all 4 atoms:
Ru (0.7500, 0.7500, 0.7500)  4 Dy 3.10, 4 La 3.10
La (0.0000, 0.0000, 0.0000)  4 Ru 3.10, 4 Ga 3.10
Ga (0.2500, 0.2500, 0.2500)  4 Dy 3.10, 4 La 3.10
Dy (0.5000, 0.5000, 0.5000)  4 Ru 3.10, 4 Ga 3.10

=====

Model x:
LaDyGaRu | PBE-GGA | optimized geometry

SG = Amm2, No. 38

Unit cell a=4.6196 b=3.8908 c=5.8141 alpha=90.00 beta=113.41 gamma=90.00
Last column: nearest neighbours and their distance in Å.
Fractional coordinates of all 4 atoms:
La (0.8331, 0.5000, 0.6662)  1 Ru 2.48
Dy (0.1302, 0.0000, 0.2604)  4 Ru 3.04, 3 Ga 3.11-3.26
Ga (0.4356, 0.0000, 0.8712)  2 Ru 2.63
Ru (0.6011, 0.5000, 0.2023)  1 La 2.48, 2 Ga 2.63

=====

model x wins, 105 meV per atom ahead of the next structure.